A plane-wave DFT calculation with PBE was carried out for a geometry-optimized GdTlNiS3 structure.

Results
**Energy**: -61.94 eV for the cell shown

```
data_GdTlNiS3
_chemical_formula_sum 'Gd2 Tl2 Ni2 S6'
_symmetry_space_group_name_H-M 'P 1'
_symmetry_Int_Tables_number 1
_cell_length_a 7.333
_cell_length_b 7.333
_cell_length_c 10.455
_cell_angle_alpha 90.00
_cell_angle_beta 90.00
_cell_angle_gamma 149.08
loop_
_symmetry_equiv_pos_as_xyz
'x,y,z'
loop_
_atom_site_label
_atom_site_fract_x
_atom_site_fract_y
_atom_site_fract_z
_atom_site_occupancy
Gd1 0.000 0.000 0.000 1
Gd2 0.000 0.000 0.500 1
Tl1 0.252 0.748 0.750 1
Tl2 0.748 0.252 0.250 1
Ni1 0.474 0.526 0.250 1
Ni2 0.526 0.474 0.750 1
S1 0.060 0.940 0.250 1
S2 0.376 0.624 0.079 1
S3 0.376 0.624 0.421 1
S4 0.624 0.376 0.579 1
S5 0.624 0.376 0.921 1
S6 0.940 0.060 0.750 1
```